No. 1
CsTlGa2Br8: optimized geometry, GGA-PBE.

Lattice parameters (Å, degrees): 11.336 11.336 11.336 37.11 37.11 37.11
Element x y z (fractional)
1 Cs 0.000 0.000 0.000
2 Tl 0.500 0.500 0.500
3 Ga 0.254 0.254 0.254
4 Ga 0.746 0.746 0.746
5 Br 0.054 0.818 0.439
6 Br 0.182 0.561 0.946
7 Br 0.329 0.329 0.329
8 Br 0.439 0.054 0.818
9 Br 0.561 0.946 0.182
10 Br 0.671 0.671 0.671
11 Br 0.818 0.439 0.054
12 Br 0.946 0.182 0.561

Summary:
Density of states at the Fermi level: 0.00 states/eV/atom
Symmetry: R-3 (148)

---

No. 2
Cs2TlGaBr4: optimized geometry, GGA-PBE.

Lattice parameters (Å, degrees): 9.836 9.836 9.836 120.09 119.86 90.04
Element x y z (fractional)
1 Cs 0.000 0.000 0.000
2 Cs 0.500 0.000 0.000
3 Cs 0.500 0.000 0.500
4 Cs 0.500 0.500 0.500
5 Tl 0.000 0.000 0.500
6 Tl 0.000 0.500 0.000
7 Ga 0.000 0.500 0.500
8 Ga 0.500 0.500 0.000
9 Br 0.222 0.735 0.487
10 Br 0.244 0.271 0.527
11 Br 0.244 0.717 0.973
12 Br 0.251 0.265 0.987
13 Br 0.749 0.735 0.013
14 Br 0.756 0.283 0.027
15 Br 0.756 0.729 0.473
16 Br 0.778 0.265 0.513

Summary:
Density of states at the Fermi level: 0.00 states/eV/atom
Symmetry: Imma (74)

---

No. 3
CsTlGaBr3: optimized geometry, GGA-PBE.

Lattice parameters (Å, degrees): 10.508 10.508 10.062 108.20 108.20 28.00
Element x y z (fractional)
1 Cs 0.152 0.152 0.070
2 Cs 0.848 0.848 0.930
3 Tl 0.157 0.157 0.538
4 Tl 0.843 0.843 0.462
5 Ga 0.490 0.490 0.337
6 Ga 0.510 0.510 0.663
7 Br 0.009 0.009 0.216
8 Br 0.319 0.319 0.653
9 Br 0.347 0.347 0.205
10 Br 0.653 0.653 0.795
11 Br 0.681 0.681 0.347
12 Br 0.991 0.991 0.784

Summary:
Symmetry: C2/m (12)

---

No. 4
CsUGa2Br8: optimized geometry, GGA-PBE.

Lattice parameters (Å, degrees): 7.248 7.542 10.145 78.22 89.79 85.86
Element x y z (fractional)
1 Cs 0.000 0.000 0.000
2 U 0.000 0.000 0.500
3 Ga 0.480 0.461 0.204
4 Ga 0.520 0.539 0.796
5 Br 0.124 0.755 0.725
6 Br 0.184 0.797 0.344
7 Br 0.293 0.193 0.508
8 Br 0.400 0.272 0.007
9 Br 0.600 0.728 0.993
10 Br 0.707 0.807 0.492
11 Br 0.816 0.203 0.656
12 Br 0.876 0.245 0.275

Summary:
Symmetry: P-1 (2)

---

No. 5
Cs2VGaBr6: optimized geometry, GGA-PBE.

Lattice parameters (Å, degrees): 7.905 7.905 7.905 60.00 60.00 60.00
Element x y z (fractional)
1 Cs 0.250 0.250 0.250
2 Cs 0.750 0.750 0.750
3 V 0.000 0.000 0.000
4 Ga 0.500 0.500 0.500
5 Br 0.230 0.230 0.770
6 Br 0.230 0.770 0.230
7 Br 0.230 0.770 0.770
8 Br 0.770 0.230 0.230
9 Br 0.770 0.230 0.770
10 Br 0.770 0.770 0.230

Summary:
Density of states at the Fermi level: 2.19 states/eV/atom
Symmetry: Fm-3m (225)

---

No. 6
Cs2YGaBr6: optimized geometry, GGA-PBE.

Lattice parameters (Å, degrees): 8.280 8.280 8.280 60.00 60.00 60.00
Element x y z (fractional)
1 Cs 0.250 0.250 0.250
2 Cs 0.750 0.750 0.750
3 Y 0.000 0.000 0.000
4 Ga 0.500 0.500 0.500
5 Br 0.239 0.239 0.761
6 Br 0.239 0.761 0.239
7 Br 0.239 0.761 0.761
8 Br 0.761 0.239 0.239
9 Br 0.761 0.239 0.761
10 Br 0.761 0.761 0.239

Summary:
Density of states at the Fermi level: 0.00 states/eV/atom
E above lowest polymorph: 7 meV per atom
Symmetry: Fm-3m (225)

---

No. 7
Cs2YGaBr6: optimized geometry, GGA-PBE.

Lattice parameters (Å, degrees): 8.179 8.314 14.269 90.00 124.90 90.00
Element x y z (fractional)
1 Cs 0.239 0.045 0.250
2 Cs 0.239 0.455 0.750
3 Cs 0.761 0.545 0.250
4 Cs 0.761 0.955 0.750
5 Y 0.500 0.000 0.000
6 Y 0.500 0.500 0.500
7 Ga 0.000 0.000 0.500
8 Ga 0.000 0.500 0.000
9 Br 0.194 0.199 0.970
10 Br 0.194 0.301 0.470
11 Br 0.274 0.725 0.972
12 Br 0.274 0.775 0.472
13 Br 0.320 0.006 0.763
14 Br 0.320 0.494 0.263
15 Br 0.680 0.506 0.737
16 Br 0.680 0.994 0.237
17 Br 0.726 0.225 0.528
18 Br 0.726 0.275 0.028
19 Br 0.806 0.699 0.530
20 Br 0.806 0.801 0.030

Summary:
Density of states at the Fermi level: 0.00 states/eV/atom
E above lowest polymorph: 0 meV per atom
Symmetry: P2_1/c (14)

---

No. 8
CsZnGaBr4: optimized geometry, GGA-PBE.

Lattice parameters (Å, degrees): 7.572 7.670 9.789 90.00 109.13 90.00
Element x y z (fractional)
1 Cs 0.235 0.250 0.446
2 Cs 0.765 0.750 0.554
3 Zn 0.269 0.750 0.180
4 Zn 0.731 0.250 0.820
5 Ga 0.277 0.250 0.977
6 Ga 0.723 0.750 0.023
7 Br 0.057 0.750 0.932
8 Br 0.104 0.750 0.355
9 Br 0.476 0.004 0.223
10 Br 0.476 0.496 0.223
11 Br 0.524 0.504 0.777
12 Br 0.524 0.996 0.777
13 Br 0.896 0.250 0.645
14 Br 0.943 0.250 0.068

Summary:
Density of states at the Fermi level: 0.00 states/eV/atom
Symmetry: P2_1/m (11)

---

No. 9
Cs2ZnGaBr6: optimized geometry, GGA-PBE.

Lattice parameters (Å, degrees): 7.700 7.700 7.700 120.19 120.19 89.68
Element x y z (fractional)
1 Cs 0.250 0.750 0.500
2 Cs 0.750 0.250 0.500
3 Zn 0.000 0.000 0.000
4 Ga 0.500 0.500 0.000
5 Br 0.247 0.247 0.493
6 Br 0.247 0.753 0.000
7 Br 0.248 0.248 0.000
8 Br 0.752 0.752 0.000
9 Br 0.753 0.247 0.000
10 Br 0.753 0.753 0.507

Summary:
Density of states at the Fermi level: 0.19 states/eV/atom
Symmetry: I4/mmm (139)

---

No. 10
CsZrGa2Br8: optimized geometry, GGA-PBE.

Lattice parameters (Å, degrees): 7.301 8.007 8.547 89.92 89.91 89.21
Element x y z (fractional)
1 Cs 0.000 0.000 0.000
2 Zr 0.000 0.500 0.500
3 Ga 0.500 0.498 0.235
4 Ga 0.500 0.502 0.765
5 Br 0.164 0.319 0.722
6 Br 0.166 0.313 0.284
7 Br 0.290 0.694 0.498
8 Br 0.391 0.710 0.001
9 Br 0.609 0.290 0.999
10 Br 0.710 0.306 0.502
11 Br 0.834 0.687 0.716
12 Br 0.836 0.681 0.278

Summary:
Density of states at the Fermi level: 0.39 states/eV/atom
Symmetry: P-1 (2)

---

No. 11
Cs3Ge5Br12: optimized geometry, GGA-PBE.

Lattice parameters (Å, degrees): 16.117 16.117 16.117 109.47 109.47 109.47
Element x y z (fractional)
1 Cs 0.125 0.250 0.375
2 Cs 0.125 0.375 0.750
3 Cs 0.250 0.375 0.125
4 Cs 0.250 0.875 0.625
5 Cs 0.375 0.125 0.250
6 Cs 0.375 0.750 0.125
7 Cs 0.625 0.250 0.875
8 Cs 0.625 0.875 0.750
9 Cs 0.750 0.125 0.375
10 Cs 0.750 0.625 0.875
11 Cs 0.875 0.625 0.250
12 Cs 0.875 0.750 0.625
13 Ge 0.000 0.000 0.000
14 Ge 0.000 0.000 0.500
15 Ge 0.000 0.500 0.000
16 Ge 0.000 0.500 0.500
17 Ge 0.125 0.750 0.875
18 Ge 0.125 0.875 0.250
19 Ge 0.250 0.125 0.875
20 Ge 0.250 0.625 0.375
21 Ge 0.375 0.250 0.625
22 Ge 0.375 0.625 0.750
23 Ge 0.500 0.000 0.000
24 Ge 0.500 0.000 0.500
25 Ge 0.500 0.500 0.000
26 Ge 0.500 0.500 0.500
27 Ge 0.625 0.375 0.250
28 Ge 0.625 0.750 0.375
29 Ge 0.750 0.375 0.625
30 Ge 0.750 0.875 0.125
31 Ge 0.875 0.125 0.750
32 Ge 0.875 0.250 0.125
33 Br 0.010 0.189 0.107
34 Br 0.010 0.321 0.902
35 Br 0.081 0.689 0.679
36 Br 0.081 0.893 0.402
37 Br 0.098 0.607 0.419
38 Br 0.098 0.990 0.679
39 Br 0.107 0.010 0.189
40 Br 0.107 0.598 0.919
41 Br 0.179 0.189 0.581
42 Br 0.179 0.490 0.598
43 Br 0.189 0.107 0.010
44 Br 0.189 0.581 0.179
45 Br 0.311 0.321 0.919
46 Br 0.311 0.490 0.393
47 Br 0.321 0.902 0.010
48 Br 0.321 0.919 0.311
49 Br 0.393 0.311 0.490
50 Br 0.393 0.581 0.902
51 Br 0.402 0.081 0.893
52 Br 0.402 0.821 0.510
53 Br 0.419 0.098 0.607
54 Br 0.419 0.821 0.811
55 Br 0.490 0.393 0.311
56 Br 0.490 0.598 0.179
57 Br 0.510 0.402 0.821
58 Br 0.510 0.607 0.689
59 Br 0.581 0.179 0.189
60 Br 0.581 0.902 0.393
61 Br 0.598 0.179 0.490
62 Br 0.598 0.919 0.107
63 Br 0.607 0.419 0.098
64 Br 0.607 0.689 0.510
65 Br 0.679 0.081 0.689
66 Br 0.679 0.098 0.990
67 Br 0.689 0.510 0.607
68 Br 0.689 0.679 0.081
69 Br 0.811 0.419 0.821
70 Br 0.811 0.893 0.990
71 Br 0.821 0.510 0.402
72 Br 0.821 0.811 0.419
73 Br 0.893 0.402 0.081
74 Br 0.893 0.990 0.811
75 Br 0.902 0.010 0.321
76 Br 0.902 0.393 0.581
77 Br 0.919 0.107 0.598
78 Br 0.919 0.311 0.321
79 Br 0.990 0.679 0.098
80 Br 0.990 0.811 0.893

Summary:
Density of states at the Fermi level: 0.34 states/eV/atom
Symmetry: Ia-3d (230)

---

No. 12
Cs2Ge2Br5: optimized geometry, GGA-PBE.

Lattice parameters (Å, degrees): 9.323 5.956 5.956 89.47 90.00 90.00
Element x y z (fractional)
1 Cs 0.000 0.000 0.000
2 Cs 0.500 0.002 0.002
3 Ge 0.196 0.478 0.478
4 Ge 0.804 0.478 0.478
5 Br 0.226 0.048 0.502
6 Br 0.226 0.502 0.048
7 Br 0.500 0.529 0.529
8 Br 0.774 0.048 0.502
9 Br 0.774 0.502 0.048

Summary:
Density of states at the Fermi level: 0.29 states/eV/atom
E above lowest polymorph: 0 meV per atom
Symmetry: Amm2 (38)

---

Number 1: ΔE_f (raw) -1.06 eV per atom, total DFT energy (no corrections) -2.953 eV/atom. Number 2: ΔE_f (raw) -1.22 eV per atom, total DFT energy (no corrections) -2.942 eV/atom. Number 3: ΔE_f (raw) -1.04 eV per atom, total DFT energy (no corrections) -2.918 eV/atom. Number 4: ΔE_f (raw) -1.10 eV per atom, total DFT energy (no corrections) -3.735 eV/atom. Number 5: ΔE_f (raw) -1.19 eV per atom, total DFT energy (no corrections) -3.580 eV/atom. Number 6: ΔE_f (raw) -1.62 eV per atom, total DFT energy (no corrections) -3.743 eV/atom. Number 7: ΔE_f (raw) -1.63 eV per atom, total DFT energy (no corrections) -3.750 eV/atom. Number 8: ΔE_f (raw) -1.07 eV per atom, total DFT energy (no corrections) -2.766 eV/atom. Number 9: ΔE_f (raw) -1.15 eV per atom, total DFT energy (no corrections) -2.751 eV/atom. Number 10: ΔE_f (raw) -1.11 eV per atom, total DFT energy (no corrections) -3.514 eV/atom. Number 11: ΔE_f (raw) -0.83 eV per atom, total DFT energy (no corrections) -3.115 eV/atom. Number 12: ΔE_f (raw) -0.99 eV per atom, total DFT energy (no corrections) -3.131 eV/atom.